The following is a DFT calculation (PBE) of an optimized crystal structure of RuSe.

```
data_RuSe
_chemical_formula_sum 'Ru2 Se2'
_symmetry_space_group_name_H-M 'P 1 21/m 1'
_symmetry_Int_Tables_number 11
_symmetry_space_group_name_Hall '-P 2yb'
_cell_length_a 3.986
_cell_length_b 3.985
_cell_length_c 5.819
_cell_angle_alpha 90.00
_cell_angle_beta 90.22
_cell_angle_gamma 90.00
loop_
_atom_site_label
_atom_site_type_symbol
_atom_site_fract_x
_atom_site_fract_y
_atom_site_fract_z
Ru1 Ru 0.250 0.250 0.000
Se1 Se 0.249 0.750 0.760
```

Properties
Energy relative to the elements, uncorrected (eV/atom): -0.25
ρ (g cm⁻³): 6.47
Final energy (eV per atom): -6.633